1.
Here is crystalline GdTmPO at its relaxed geometry from OQMD. Energies are from PBE.

E_tot (eV/atom): -6.875
Space-group type: Pmc2_1
Mass density (g/cm3): 7.31

The structure in POSCAR format:
```
GdTmPO
1.0
4.1172 0.0000 0.0000
0.0000 7.5150 0.0000
0.0000 0.0000 5.4783
Tm Gd O P
2 2 2 2
Direct
0.0000 0.2086 0.4402
0.0000 0.7914 0.9402
0.5000 0.3693 0.9698
0.5000 0.6307 0.4698
0.5000 0.6754 0.9076
0.5000 0.3246 0.4076
0.0000 0.1475 0.9365
0.0000 0.8525 0.4365
```

2.
Here is crystalline Gd5Pb3O at its relaxed geometry from OQMD. Energies are from PBE.

E_tot (eV/atom): -5.501
Space-group type: I4/mcm
Mass density (g/cm3): 9.62

The structure in POSCAR format:
```
Gd5Pb3O
1.0
4.8247 -4.4456 6.4334
-4.3501 -8.0933 -0.0716
3.4863 4.3047 -7.3311
Gd Pb O
10 6 2
Direct
0.5000 0.5000 0.0000
0.6989 0.1989 0.2001
0.0000 0.0000 0.0000
0.9989 0.4989 0.7999
0.1989 0.9989 0.5000
0.4989 0.6989 0.5000
0.8011 0.0011 0.5000
0.0011 0.5011 0.2001
0.5011 0.3011 0.5000
0.3011 0.8011 0.7999
0.2500 0.2500 0.0000
0.6468 0.1468 0.7937
0.8532 0.6468 0.5000
0.1468 0.3532 0.5000
0.7500 0.7500 0.0000
0.3532 0.8532 0.2063
0.2500 0.7500 0.5000
0.7500 0.2500 0.5000
```

3.
Here is crystalline Gd2Pb2O5 at its relaxed geometry from OQMD. Energies are from PBE.

E_tot (eV/atom): -6.721
Space-group type: P4/mmm
Mass density (g/cm3): 8.54

The structure in POSCAR format:
```
Gd2Pb2O5
1.0
-5.6868 3.2521 5.1022
0.2218 -3.5494 2.5096
3.1639 1.8550 2.3440
O Gd Pb
5 2 2
Direct
0.8102 0.0000 0.5000
0.5000 0.5000 0.5000
0.8102 0.5000 0.0000
0.1898 0.0000 0.5000
0.1898 0.5000 0.0000
0.2424 0.5000 0.5000
0.7576 0.5000 0.5000
0.5000 0.0000 0.0000
0.0000 0.0000 0.0000
```

4.
Here is crystalline GdPb2O4 at its relaxed geometry from OQMD. Energies are from PBE.

E_tot (eV/atom): -6.243
Space-group type: Fd-3m
Mass density (g/cm3): 8.55

The structure in POSCAR format:
```
GdPb2O4
1.0
-7.0413 0.0575 0.1309
3.3966 -2.9185 -5.4356
0.0927 -3.1377 6.3045
Gd Pb O
2 4 8
Direct
0.7500 0.5000 0.2500
0.0000 0.0000 0.0000
0.3750 0.7500 0.6250
0.3750 0.7500 0.1250
0.3750 0.2500 0.6250
0.8750 0.2500 0.6250
0.1269 0.7461 0.8730
0.6231 0.7539 0.3770
0.1270 0.2539 0.8731
0.6231 0.2461 0.8692
0.1269 0.2539 0.3808
0.6192 0.7461 0.8731
0.6230 0.2461 0.3769
0.1308 0.7539 0.3769
```

5.
Here is crystalline Gd2Pb2O5 at its relaxed geometry from OQMD. Energies are from PBE.

E_tot (eV/atom): -6.027
Space-group type: P4/mmm
Mass density (g/cm3): 9.39

The structure in POSCAR format:
```
Gd2Pb2O5
1.0
7.1592 0.0000 0.0000
0.0000 4.4696 0.0000
0.0000 0.0000 4.4696
O Pb Gd
5 2 2
Direct
0.5000 0.5000 0.5000
0.2270 0.0000 0.5000
0.2270 0.5000 0.0000
0.7730 0.5000 0.0000
0.7730 0.0000 0.5000
0.7934 0.5000 0.5000
0.2066 0.5000 0.5000
0.5000 0.0000 0.0000
0.0000 0.0000 0.0000
```

6.
Here is crystalline GdPbSeO at its relaxed geometry from OQMD. Energies are from PBE.

E_tot (eV/atom): -5.577
Space-group type: R-3m
Mass density (g/cm3): 7.19

The structure in POSCAR format:
```
GdPbSeO
1.0
2.3834 1.3760 10.7811
-2.3834 1.3760 10.7811
0.0000 -2.7521 10.7811
Pb Se Gd O
2 2 2 2
Direct
0.6336 0.6336 0.6336
0.3664 0.3664 0.3664
0.8745 0.8745 0.8745
0.1255 0.1255 0.1255
0.2230 0.2230 0.2230
0.7770 0.7770 0.7770
0.7117 0.7117 0.7117
0.2883 0.2883 0.2883
```

7.
Here is crystalline GdPbSeO at its relaxed geometry from OQMD. Energies are from PBE.

E_tot (eV/atom): -5.558
Space-group type: R-3m
Mass density (g/cm3): 6.96

The structure in POSCAR format:
```
GdPbSeO
1.0
2.4987 -4.3279 0.0000
-4.9975 0.0000 0.0000
2.4987 -1.4426 -10.1284
Pb Gd Se O
2 2 2 2
Direct
0.6315 0.3685 0.1055
0.3685 0.6315 0.8945
0.2230 0.7770 0.3309
0.7770 0.2230 0.6691
0.1240 0.8760 0.6281
0.8760 0.1240 0.3719
0.7067 0.2933 0.8799
0.2933 0.7067 0.1201
```

8.
Here is crystalline GdPbSeO at its relaxed geometry from OQMD. Energies are from PBE.

E_tot (eV/atom): -5.576
Space-group type: R-3m
Mass density (g/cm3): 7.20

The structure in POSCAR format:
```
GdPbSeO
1.0
2.3729 -4.1099 0.0000
-4.7457 0.0000 0.0000
2.3729 -1.3700 -10.8622
Gd Se Pb O
2 2 2 2
Direct
0.7766 0.2234 0.6702
0.2234 0.7766 0.3298
0.8741 0.1259 0.3777
0.1259 0.8741 0.6223
0.3666 0.6334 0.9003
0.6334 0.3666 0.0997
0.2886 0.7114 0.1342
0.7114 0.2886 0.8658
```

9.
Here is crystalline GdTaPb2O6 at its relaxed geometry from OQMD. Energies are from PBE.

E_tot (eV/atom): -7.532
Space-group type: P-1
Mass density (g/cm3): 9.31

The structure in POSCAR format:
```
GdTaPb2O6
1.0
-4.0519 2.0963 -2.5743
-0.1213 -5.1212 -1.4052
-3.1873 -0.6263 4.5944
O Pb Gd Ta
6 2 1 1
Direct
0.3065 0.2992 0.2617
0.7495 0.2785 0.9703
0.7202 0.7511 0.2538
0.2798 0.2489 0.7462
0.2505 0.7215 0.0297
0.6935 0.7008 0.7383
0.2969 0.7076 0.4746
0.7031 0.2924 0.5254
0.0000 0.0000 0.0000
0.5000 0.5000 0.0000
```

10.
Here is crystalline Gd2PdO4 at its relaxed geometry from OQMD. Energies are from PBE.

E_tot (eV/atom): -7.537
Space-group type: P4/ncc
Mass density (g/cm3): 8.17

The structure in POSCAR format:
```
Gd2PdO4
1.0
-0.8138 -0.4003 -7.8579
3.4889 -7.0990 0.0003
-5.6187 -2.7613 0.7226
Gd O Pd
8 16 4
Direct
0.6801 0.3199 0.7500
0.8199 0.8199 0.7500
0.6801 0.6801 0.2500
0.1801 0.8199 0.2500
0.8199 0.1801 0.2500
0.3199 0.3199 0.2500
0.1801 0.1801 0.7500
0.3199 0.6801 0.7500
0.7508 0.9293 0.0787
0.2492 0.0707 0.0787
0.4293 0.7492 0.0787
0.9293 0.2492 0.9213
0.5707 0.7492 0.5787
0.0707 0.2492 0.4213
0.5707 0.2508 0.0787
0.7508 0.0707 0.5787
0.2492 0.9293 0.5787
0.4293 0.2508 0.5787
0.9293 0.7508 0.4213
0.7492 0.4293 0.4213
0.0707 0.7508 0.9213
0.7492 0.5707 0.9213
0.2508 0.4293 0.9213
0.2508 0.5707 0.4213
0.5000 0.0000 0.5618
0.0000 0.5000 0.4382
0.5000 0.0000 0.0618
0.0000 0.5000 0.9382
```

11.
Here is crystalline Gd2PdO4 at its relaxed geometry from OQMD. Energies are from PBE.

E_tot (eV/atom): -7.539
Space-group type: Pbca
Mass density (g/cm3): 8.56

The structure in POSCAR format:
```
Gd2PdO4
1.0
5.5856 0.0000 0.0000
0.0000 5.6106 0.0000
0.0000 0.0000 12.0096
O Gd Pd
16 8 4
Direct
0.1818 0.3173 0.0101
0.3182 0.6827 0.5101
0.7415 0.7106 0.7443
0.7585 0.2894 0.2443
0.7585 0.2106 0.7443
0.2415 0.7106 0.7557
0.8182 0.6827 0.9899
0.6818 0.3173 0.4899
0.2585 0.2106 0.7557
0.8182 0.8173 0.4899
0.3182 0.8173 0.0101
0.1818 0.1827 0.5101
0.7415 0.7894 0.2443
0.6818 0.1827 0.9899
0.2585 0.2894 0.2557
0.2415 0.7894 0.2557
0.9911 0.4612 0.8423
0.9911 0.0388 0.3423
0.0089 0.9612 0.6577
0.5089 0.9612 0.8423
0.5089 0.5388 0.3423
0.4911 0.4612 0.6577
0.4911 0.0388 0.1577
0.0089 0.5388 0.1577
0.5000 0.0000 0.5000
0.0000 0.0000 0.0000
0.0000 0.5000 0.5000
0.5000 0.5000 0.0000
```

12.
Here is crystalline GdPdSO at its relaxed geometry from OQMD. Energies are from PBE.

E_tot (eV/atom): -6.497
Space-group type: Pbca
Mass density (g/cm3): 7.45

The structure in POSCAR format:
```
GdPdSO
1.0
6.6969 0.0000 0.0000
0.0000 11.1516 0.0000
0.0000 0.0000 7.4423
O Pd S Gd
8 8 8 8
Direct
0.2527 0.7461 0.3931
0.7473 0.2461 0.1069
0.7527 0.7461 0.1069
0.7527 0.7539 0.6069
0.7473 0.2539 0.6069
0.2473 0.2539 0.8931
0.2473 0.2461 0.3931
0.2527 0.7539 0.8931
0.2133 0.9910 0.0048
0.7133 0.5090 0.9952
0.2867 0.0090 0.5048
0.7867 0.0090 0.9952
0.2867 0.4910 0.0048
0.2133 0.5090 0.5048
0.7867 0.4910 0.4952
0.7133 0.9910 0.4952
0.5039 0.0056 0.7818
0.4961 0.9944 0.2182
0.9961 0.9944 0.2818
0.4961 0.5056 0.7182
0.5039 0.4944 0.2818
0.9961 0.5056 0.7818
0.0039 0.4944 0.2182
0.0039 0.0056 0.7182
0.9258 0.7632 0.8604
0.9258 0.7368 0.3604
0.0742 0.2632 0.6396
0.5742 0.2368 0.3604
0.5742 0.2632 0.8604
0.4258 0.7632 0.6396
0.4258 0.7368 0.1396
0.0742 0.2368 0.1396
```

13.
Here is crystalline GdPdSO at its relaxed geometry from OQMD. Energies are from PBE.

E_tot (eV/atom): -6.498
Space-group type: Pbca
Mass density (g/cm3): 7.44

The structure in POSCAR format:
```
GdPdSO
1.0
6.6979 0.0000 0.0000
0.0000 11.1582 0.0000
0.0000 0.0000 7.4441
Gd O S Pd
8 8 8 8
Direct
0.5671 0.2368 0.3616
0.4328 0.7632 0.6384
0.9329 0.7368 0.3616
0.0672 0.2632 0.6384
0.0672 0.2368 0.1384
0.9329 0.7632 0.8616
0.5671 0.2632 0.8616
0.4328 0.7368 0.1384
0.7596 0.7462 0.1086
0.2596 0.7538 0.8914
0.2404 0.2462 0.3914
0.7404 0.2462 0.1086
0.7404 0.2538 0.6086
0.7596 0.7538 0.6086
0.2596 0.7462 0.3914
0.2404 0.2538 0.8914
0.4958 0.9941 0.2182
0.4958 0.5059 0.7182
0.9958 0.9941 0.2818
0.5042 0.0059 0.7818
0.0042 0.0059 0.7182
0.9958 0.5059 0.7818
0.5042 0.4941 0.2818
0.0042 0.4941 0.2182
0.2131 0.9913 0.0057
0.7869 0.4913 0.4943
0.7131 0.9913 0.4943
0.2131 0.5087 0.5057
0.2869 0.0087 0.5057
0.2869 0.4913 0.0057
0.7131 0.5087 0.9943
0.7869 0.0087 0.9943
```

14.
Here is crystalline GdPdSO at its relaxed geometry from OQMD. Energies are from PBE.

E_tot (eV/atom): -5.839
Space-group type: R-3m
Mass density (g/cm3): 6.27

The structure in POSCAR format:
```
GdPdSO
1.0
1.9621 -3.3985 0.0000
-1.9621 -3.3985 0.0000
0.0000 2.2657 -12.3792
O S Gd Pd
2 2 2 2
Direct
0.7017 0.7017 0.1052
0.2983 0.2983 0.8948
0.8714 0.8714 0.6141
0.1286 0.1286 0.3859
0.2394 0.2394 0.7182
0.7606 0.7606 0.2818
0.3674 0.3674 0.1021
0.6326 0.6326 0.8979
```

15.
Here is crystalline GdPdSeO at its relaxed geometry from OQMD. Energies are from PBE.

E_tot (eV/atom): -5.583
Space-group type: R-3m
Mass density (g/cm3): 6.88

The structure in POSCAR format:
```
GdPdSeO
1.0
3.9474 0.0000 0.0000
-1.9737 3.4185 0.0000
-1.9737 1.1395 12.8334
Se O Pd Gd
2 2 2 2
Direct
0.1283 0.8716 0.3850
0.8717 0.1283 0.6150
0.6991 0.3009 0.0973
0.3009 0.6991 0.9027
0.6340 0.3660 0.9020
0.3660 0.6340 0.0980
0.7557 0.2443 0.2671
0.2443 0.7557 0.7329
```

16.
Here is crystalline GdTePdO at its relaxed geometry from OQMD. Energies are from PBE.

E_tot (eV/atom): -6.133
Space-group type: R-3m
Mass density (g/cm3): 8.04

The structure in POSCAR format:
```
GdTePdO
1.0
0.6783 3.8681 -1.7096
-3.1184 2.9358 0.0398
4.2625 1.2686 9.9267
O Gd Pd Te
2 2 2 2
Direct
0.6411 0.6411 0.9234
0.3588 0.3588 0.0766
0.2912 0.2912 0.8735
0.7088 0.7088 0.1265
0.5429 0.5429 0.6288
0.4571 0.4571 0.3712
0.8896 0.8896 0.6688
0.1104 0.1104 0.3312
```

17.
Here is crystalline GdTePdO at its relaxed geometry from OQMD. Energies are from PBE.

E_tot (eV/atom): -5.178
Space-group type: R-3m
Mass density (g/cm3): 8.19

The structure in POSCAR format:
```
GdTePdO
1.0
-4.8334 0.0000 0.0000
-2.4167 -4.1858 0.0000
2.4167 1.3953 8.1599
O Pd Te Gd
2 2 2 2
Direct
0.7014 0.7014 0.1042
0.2986 0.2986 0.8958
0.6095 0.6095 0.8284
0.3905 0.3905 0.1716
0.9289 0.9289 0.7866
0.0711 0.0711 0.2134
0.2158 0.2158 0.6473
0.7842 0.7842 0.3527
```

18.
Here is crystalline Pm2Gd2O5 at its relaxed geometry from OQMD. Energies are from PBE.

E_tot (eV/atom): -7.634
Space-group type: P4/mmm
Mass density (g/cm3): 7.39

The structure in POSCAR format:
```
Pm2Gd2O5
1.0
-6.4220 -6.8229 -3.3749
2.9880 -2.4386 -0.7557
-0.3086 -1.4999 3.6195
Gd O Pm
2 5 2
Direct
0.0000 0.0000 0.0000
0.5000 0.0000 0.0000
0.8615 0.0000 0.5000
0.1385 0.5000 0.0000
0.8615 0.5000 0.0000
0.1385 0.0000 0.5000
0.5000 0.5000 0.5000
0.7587 0.5000 0.5000
0.2413 0.5000 0.5000
```

19.
Here is crystalline Pm2GdO4 at its relaxed geometry from OQMD. Energies are from PBE.

E_tot (eV/atom): -7.968
Space-group type: Fd-3m
Mass density (g/cm3): 7.18

The structure in POSCAR format:
```
Pm2GdO4
1.0
4.9062 -4.9076 0.0000
-4.9062 0.0000 -4.9076
4.9062 4.9076 0.0000
O Gd Pm
8 2 4
Direct
0.6125 0.7416 0.8709
0.6207 0.2416 0.3791
0.6209 0.2416 0.8625
0.1291 0.7416 0.8707
0.1293 0.2584 0.8709
0.1375 0.7584 0.3791
0.1291 0.2584 0.3875
0.6209 0.7584 0.3793
0.7500 0.5000 0.2500
0.0000 0.0000 0.0000
0.3750 0.2500 0.6250
0.3750 0.7500 0.1250
0.3750 0.7500 0.6250
0.8750 0.2500 0.6250
```